[1]
Entry from Alexandria: KTl2Fe after structural relaxation (PBE-GGA).

Lattice parameters (Å, degrees): 5.404 5.404 5.404 60.00 60.00 60.00
Site moments in Bohr magnetons follow the coordinates.
Element x y z (fractional)
Fe (0.500, 0.500, 0.500)  3.05
K (0.750, 0.750, 0.750)  0.00
Tl (0.000, 0.000, 0.000)  -0.03
Tl (0.250, 0.250, 0.250)  -0.02

Values from the calculation:
The value obtained for the density of states at the Fermi level is 1.553 states/eV per atom. Its spin magnetization is 0.781 μB/atom. For the energy of formation, the calculation gives 0.6613 eV/atom. The space-group type is F-43m, No. 216.

=====

[2]
Entry from Alexandria: KTlFe2 after structural relaxation (PBE-GGA).

Lattice parameters (Å, degrees): 3.234 3.256 8.361 90.00 90.00 90.00
Site moments in Bohr magnetons follow the coordinates.
Element x y z (fractional)
Fe (0.000, 0.000, 0.052)  2.65
Fe (0.500, 0.500, 0.156)  2.77
K (0.000, 0.000, 0.478)  -0.01
Tl (0.500, 0.500, 0.814)  -0.04

Values from the calculation:
The value obtained for the density of states at the Fermi level is 0.742 states/eV per atom. The energy relative to the lowest polymorph listed for this composition comes out at 0.00 kcal/mol of atoms. Its spin magnetization is 1.332 μB/atom. For the energy of formation, the calculation gives 0.4837 eV/atom. The space-group type is Pmm2, No. 25.

=====

[3]
Entry from Alexandria: KTl2Fe after structural relaxation (PBE-GGA).

Lattice parameters (Å, degrees): 4.369 4.369 8.014 75.44 75.44 57.80
Site moments in Bohr magnetons follow the coordinates.
Element x y z (fractional)
Fe (0.750, 0.750, 0.750)  2.78
K (0.250, 0.250, 0.250)  0.00
Tl (0.029, 0.029, 0.913)  -0.04
Tl (0.471, 0.471, 0.587)  -0.04

Values from the calculation:
The value obtained for the density of states at the Fermi level is 0.720 states/eV per atom. Its spin magnetization is 0.669 μB/atom. For the energy of formation, the calculation gives 0.3802 eV/atom. The space-group type is C2/m, No. 12.

=====

[4]
Entry from Alexandria: K2TlFe after structural relaxation (PBE-GGA).

Lattice parameters (Å, degrees): 4.331 4.331 12.473 80.00 80.00 90.00
Site moments in Bohr magnetons follow the coordinates.
Element x y z (fractional)
K (0.617, 0.125, 0.250)  0.01
K (0.133, 0.625, 0.250)  0.01
K (0.375, 0.383, 0.750)  0.01
K (0.875, 0.867, 0.750)  0.01
Tl (0.000, 0.000, 0.000)  0.04
Tl (0.750, 0.250, 0.500)  0.04
Fe (0.500, 0.500, 0.000)  -0.32
Fe (0.250, 0.750, 0.500)  -0.30

Values from the calculation:
The value obtained for the density of states at the Fermi level is 1.459 states/eV per atom. The energy relative to the lowest polymorph listed for this composition comes out at 15.23 kcal/mol of atoms. Its spin magnetization is 0.026 μB/atom. For the energy of formation, the calculation gives 1.1169 eV/atom. The space-group type is I-42d, No. 122.

=====

[5]
Entry from Alexandria: KTl2Fe after structural relaxation (PBE-GGA).

Lattice parameters (Å, degrees): 5.788 5.788 5.788 130.16 130.16 73.16
Site moments in Bohr magnetons follow the coordinates.
Element x y z (fractional)
Fe (0.500, 0.500, 0.000)  3.05
K (0.750, 0.250, 0.500)  -0.01
Tl (0.000, 0.000, 0.000)  -0.04
Tl (0.250, 0.750, 0.500)  -0.04

Values from the calculation:
The value obtained for the density of states at the Fermi level is 1.491 states/eV per atom. Its spin magnetization is 0.735 μB/atom. For the energy of formation, the calculation gives 0.6447 eV/atom. The space-group type is I-4m2, No. 119.

=====

[6]
Entry from Alexandria: KTlFe3 after structural relaxation (PBE-GGA).

Lattice parameters (Å, degrees): 4.683 4.683 4.683 90.00 90.00 90.00
Site moments in Bohr magnetons follow the coordinates.
Element x y z (fractional)
K (0.000, 0.000, 0.000)  -0.06
Tl (0.500, 0.500, 0.500)  -0.01
Fe (0.000, 0.500, 0.000)  2.78
Fe (0.000, 0.000, 0.500)  2.53
Fe (0.500, 0.000, 0.000)  2.85

Values from the calculation:
The value obtained for the density of states at the Fermi level is 0.991 states/eV per atom. The energy relative to the lowest polymorph listed for this composition comes out at 18.29 kcal/mol of atoms. Its spin magnetization is 1.590 μB/atom. For the energy of formation, the calculation gives 2.2495 eV/atom. The space-group type is Pm-3m, No. 221.

=====

[7]
Entry from Alexandria: K2TlFe after structural relaxation (PBE-GGA).

Lattice parameters (Å, degrees): 6.527 6.527 6.527 138.20 124.48 71.85
Site moments in Bohr magnetons follow the coordinates.
Element x y z (fractional)
Fe (0.324, 0.824, 0.500)  2.94
K (0.022, 0.022, 0.000)  -0.01
K (0.719, 0.219, 0.500)  -0.01
Tl (0.434, 0.434, 0.000)  -0.10

Values from the calculation:
The value obtained for the density of states at the Fermi level is 0.737 states/eV per atom. The energy relative to the lowest polymorph listed for this composition comes out at 1.67 kcal/mol of atoms. Its spin magnetization is 0.686 μB/atom. For the energy of formation, the calculation gives 0.5289 eV/atom. The space-group type is Imm2, No. 44.

=====

[8]
Entry from Alexandria: K4TlFe after structural relaxation (PBE-GGA).

Lattice parameters (Å, degrees): 7.329 7.329 7.329 60.00 60.00 60.00
Site moments in Bohr magnetons follow the coordinates.
Element x y z (fractional)
K (0.876, 0.375, 0.375)  -0.01
K (0.375, 0.375, 0.876)  -0.01
K (0.375, 0.876, 0.375)  -0.01
K (0.375, 0.375, 0.375)  -0.01
Tl (0.750, 0.750, 0.750)  -0.06
Fe (0.000, 0.000, 0.000)  3.21

Values from the calculation:
The value obtained for the density of states at the Fermi level is 1.698 states/eV per atom. Its spin magnetization is 0.488 μB/atom. For the energy of formation, the calculation gives 0.7844 eV/atom. The space-group type is F-43m, No. 216.

=====

| no. | electronic total energy (eV/cell) | density (g/cm³) |
| --- | --- | --- |
| 1 | -11.65 | 7.49 |
| 2 | -18.45 | 6.70 |
| 3 | -12.77 | 6.75 |
| 4 | -17.11 | 4.95 |
| 5 | -11.71 | 7.56 |
| 6 | -17.60 | 6.65 |
| 7 | -10.91 | 3.75 |
| 8 | -10.51 | 2.49 |